A relaxed MnSO2 crystal, computed with GGA+U.

Cell: 7.1535 7.1535 7.1535 Å, 21.67 21.67 21.67°
Positions (direct):
S 0.5000 0.5000 0.5000
O 0.9206 0.9206 0.9206
Mn 0.0000 0.0000 0.0000
O 0.0794 0.0794 0.0794

Properties
- Uncorrected energy: -4.443 eV per atom
- Space-group type: R-3m